Record 1
Ta4CrRu GGA-PBE relaxed; VASP energy = -10.56 eV per atom; crystal system = cubic; E above lowest polymorph = 0.692 eV per atom; ΔE_f = 493 meV per atom; space-group type = F-43m, No. 216; size of the total moment = 3.2 μB per formula unit
1.0
0.0000 3.7785 3.7785
3.7785 0.0000 3.7785
3.7785 3.7785 0.0000
Ta Cr Ru
4 1 1
Direct
0.1250 0.1250 0.1250 Ta
0.1250 0.1250 0.6251 Ta
0.1250 0.6251 0.1250 Ta
0.6251 0.1250 0.1250 Ta
0.7500 0.7500 0.7500 Cr
0.5000 0.5000 0.5000 Ru

---

Record 2
TaCrRu GGA-PBE relaxed; VASP energy = -10.28 eV per atom; crystal system = monoclinic; E above lowest polymorph = 0.120 eV per atom; ΔE_f = -34 meV per atom; space-group type = Cm, No. 8; size of the total moment = 0.0 μB per formula unit
1.0
9.6272 0.0000 0.0000
0.0000 3.0521 0.0000
-1.7599 0.0000 5.9857
Ta Cr Ru
4 4 4
Direct
0.0000 0.0000 0.0000 Ta
0.1742 0.5000 0.3682 Ta
0.5000 0.5000 0.0000 Ta
0.6742 0.0000 0.3682 Ta
0.1757 0.5000 0.8449 Cr
0.3251 0.0000 0.6901 Cr
0.6757 0.0000 0.8449 Cr
0.8251 0.5000 0.6901 Cr
0.0032 0.0000 0.5425 Ru
0.3293 0.0000 0.1689 Ru
0.5032 0.5000 0.5425 Ru
0.8293 0.5000 0.1689 Ru

---

Record 3
Ta2CrRu GGA-PBE relaxed; VASP energy = -10.95 eV per atom; crystal system = tetragonal; E above lowest polymorph = 0.000 eV per atom; ΔE_f = -299 meV per atom; space-group type = P4/mmm, No. 123; size of the total moment = 0.0 μB per formula unit
1.0
3.1251 0.0000 0.0000
0.0000 3.1251 0.0000
0.0000 0.0000 6.3012
Ta Cr Ru
2 1 1
Direct
0.0000 0.0000 0.2395 Ta
0.0000 0.0000 0.7605 Ta
0.5000 0.5000 0.0000 Cr
0.5000 0.5000 0.5000 Ru

---

Record 4
TaCrRu GGA-PBE relaxed; VASP energy = -10.32 eV per atom; crystal system = orthorhombic; E above lowest polymorph = 0.083 eV per atom; ΔE_f = -71 meV per atom; space-group type = Amm2, No. 38; size of the total moment = 0.0 μB per formula unit
1.0
3.0788 0.0000 0.0000
0.0000 4.3195 0.0000
0.0000 0.0000 13.2062
Ta Cr Ru
4 4 4
Direct
0.0000 0.0000 0.0000 Ta
0.0000 0.0000 0.3217 Ta
0.0000 0.5000 0.5000 Ta
0.0000 0.5000 0.8217 Ta
0.5000 0.0000 0.1650 Cr
0.5000 0.0000 0.4957 Cr
0.5000 0.5000 0.6650 Cr
0.5000 0.5000 0.9957 Cr
0.0000 0.0000 0.6492 Ru
0.0000 0.5000 0.1492 Ru
0.5000 0.0000 0.8314 Ru
0.5000 0.5000 0.3314 Ru

---

Record 5
TaCrRu GGA-PBE relaxed; VASP energy = -10.29 eV per atom; crystal system = monoclinic; E above lowest polymorph = 0.117 eV per atom; ΔE_f = -37 meV per atom; space-group type = Cm, No. 8; size of the total moment = 0.0 μB per formula unit
1.0
8.8356 0.0000 0.0000
0.0000 4.3370 0.0000
-2.6484 0.0000 4.5919
Ta Cr Ru
4 4 4
Direct
0.0000 0.0000 0.0000 Ta
0.2182 0.5000 0.3374 Ta
0.5000 0.5000 0.0000 Ta
0.7182 0.0000 0.3374 Ta
0.0542 0.0000 0.5501 Cr
0.3433 0.0000 0.6617 Cr
0.5542 0.5000 0.5501 Cr
0.8433 0.5000 0.6617 Cr
0.1574 0.5000 0.7822 Ru
0.3666 0.0000 0.1817 Ru
0.6574 0.0000 0.7822 Ru
0.8666 0.5000 0.1817 Ru

---

Record 6
Ta2CrRu GGA-PBE relaxed; VASP energy = -10.93 eV per atom; crystal system = cubic; E above lowest polymorph = 0.020 eV per atom; ΔE_f = -280 meV per atom; space-group type = Fm-3m, No. 225; size of the total moment = 0.0 μB per formula unit
1.0
6.2724 0.0000 0.0000
0.0000 6.2724 0.0000
0.0000 0.0000 6.2724
Ta Cr Ru
8 4 4
Direct
0.2500 0.2500 0.2500 Ta
0.2500 0.2500 0.7500 Ta
0.2500 0.7500 0.2500 Ta
0.2500 0.7500 0.7500 Ta
0.7500 0.2500 0.2500 Ta
0.7500 0.2500 0.7500 Ta
0.7500 0.7500 0.2500 Ta
0.7500 0.7500 0.7500 Ta
0.0000 0.0000 0.0000 Cr
0.0000 0.5000 0.5000 Cr
0.5000 0.0000 0.5000 Cr
0.5000 0.5000 0.0000 Cr
0.0000 0.0000 0.5000 Ru
0.0000 0.5000 0.0000 Ru
0.5000 0.0000 0.0000 Ru
0.5000 0.5000 0.5000 Ru

---

Record 7
Ta4CrRu3 GGA-PBE relaxed; VASP energy = -10.91 eV per atom; crystal system = tetragonal; ΔE_f = -297 meV per atom; space-group type = P4/mmm, No. 123; size of the total moment = 0.0 μB per formula unit
1.0
3.1058 0.0000 0.0000
0.0000 3.1058 0.0000
0.0000 0.0000 13.0224
Ta Cr Ru
4 1 3
Direct
0.0000 0.0000 0.1154 Ta
0.0000 0.0000 0.3715 Ta
0.0000 0.0000 0.6285 Ta
0.0000 0.0000 0.8846 Ta
0.5000 0.5000 0.0000 Cr
0.5000 0.5000 0.2444 Ru
0.5000 0.5000 0.5000 Ru
0.5000 0.5000 0.7556 Ru

---

Record 8
TaCrRu GGA-PBE relaxed; VASP energy = -10.33 eV per atom; crystal system = orthorhombic; E above lowest polymorph = 0.078 eV per atom; ΔE_f = -76 meV per atom; space-group type = Amm2, No. 38; size of the total moment = 1.2 μB per formula unit
1.0
4.3743 0.0000 0.0000
0.0000 3.1034 0.0000
0.0000 0.0000 13.1223
Ta Cr Ru
4 4 4
Direct
0.0000 0.0000 0.0000 Ta
0.0000 0.5000 0.5000 Ta
0.5000 0.0000 0.1708 Ta
0.5000 0.5000 0.6708 Ta
0.0000 0.0000 0.3382 Cr
0.0000 0.5000 0.8382 Cr
0.5000 0.0000 0.5016 Cr
0.5000 0.5000 0.0016 Cr
0.0000 0.0000 0.6697 Ru
0.0000 0.5000 0.1697 Ru
0.5000 0.0000 0.8376 Ru
0.5000 0.5000 0.3376 Ru

---

Record 9
Ta4CrRu GGA-PBE relaxed; VASP energy = -11.25 eV per atom; crystal system = tetragonal; E above lowest polymorph = 0.000 eV per atom; ΔE_f = -199 meV per atom; space-group type = P4/mmm, No. 123; size of the total moment = 0.0 μB per formula unit
1.0
3.1692 0.0000 0.0000
0.0000 3.1692 0.0000
0.0000 0.0000 9.7935
Ta Cr Ru
4 1 1
Direct
0.0000 0.0000 0.1544 Ta
0.0000 0.0000 0.8456 Ta
0.5000 0.5000 0.3360 Ta
0.5000 0.5000 0.6640 Ta
0.5000 0.5000 0.0000 Cr
0.0000 0.0000 0.5000 Ru

---

Record 10
TaTiCrRu GGA-PBE relaxed; VASP energy = -10.02 eV per atom; crystal system = tetragonal; ΔE_f = -359 meV per atom; space-group type = P4mm, No. 99; size of the total moment = 0.4 μB per formula unit
1.0
3.0904 0.0000 0.0000
0.0000 3.0904 0.0000
0.0000 0.0000 6.2254
Ta Ti Cr Ru
1 1 1 1
Direct
0.0000 0.0000 0.0000 Ta
0.0000 0.0000 0.5144 Ti
0.5000 0.5000 0.7552 Cr
0.5000 0.5000 0.2617 Ru

---

Record 11
Tb2CrRu3 GGA-PBE relaxed; VASP energy = -8.00 eV per atom; crystal system = hexagonal; ΔE_f = -214 meV per atom; space-group type = P6_3/mmc, No. 194; size of the total moment = 0.0 μB per formula unit
1.0
5.5028 0.0000 0.0000
-2.7514 4.7656 0.0000
0.0000 0.0000 8.0424
Tb Cr Ru
4 2 6
Direct
0.3333 0.6667 0.0611 Tb
0.3333 0.6667 0.4389 Tb
0.6667 0.3333 0.5611 Tb
0.6667 0.3333 0.9389 Tb
0.0000 0.0000 0.0000 Cr
0.0000 0.0000 0.5000 Cr
0.1676 0.3353 0.7500 Ru
0.1676 0.8324 0.7500 Ru
0.3353 0.1676 0.2500 Ru
0.6647 0.8324 0.7500 Ru
0.8324 0.1676 0.2500 Ru
0.8324 0.6647 0.2500 Ru

---

Record 12
TbCrRu2 GGA-PBE relaxed; VASP energy = -8.17 eV per atom; crystal system = tetragonal; ΔE_f = 28 meV per atom; space-group type = P4/mmm, No. 123; size of the total moment = 1.5 μB per formula unit
1.0
3.1283 0.0000 0.0000
0.0000 3.1283 0.0000
0.0000 0.0000 6.7494
Tb Cr Ru
1 1 2
Direct
0.0000 0.0000 0.0000 Tb
0.0000 0.0000 0.5000 Cr
0.5000 0.5000 0.2966 Ru
0.5000 0.5000 0.7034 Ru

---

Record 13
CrTcRu2 GGA-PBE relaxed; VASP energy = -9.52 eV per atom; crystal system = monoclinic; E above lowest polymorph = 0.047 eV per atom; ΔE_f = 113 meV per atom; space-group type = Cm, No. 8; size of the total moment = 0.0 μB per formula unit
1.0
8.8876 0.0000 0.0000
0.0000 2.6998 0.0000
-0.8933 0.0000 4.5593
Cr Tc Ru
2 2 4
Direct
0.0000 0.0000 0.0000 Cr
0.5000 0.5000 0.0000 Cr
0.2570 0.0000 0.7348 Tc
0.7570 0.5000 0.7348 Tc
0.2507 0.5000 0.2235 Ru
0.4989 0.0000 0.4928 Ru
0.7507 0.0000 0.2235 Ru
0.9989 0.5000 0.4928 Ru

---

Record 14
CrTcRu GGA-PBE relaxed; VASP energy = -9.63 eV per atom; crystal system = tetragonal; E above lowest polymorph = 0.062 eV per atom; ΔE_f = 124 meV per atom; space-group type = I4mm, No. 107; size of the total moment = 0.0 μB per formula unit
1.0
2.6818 0.0000 0.0000
0.0000 2.6818 0.0000
0.0000 0.0000 11.2688
Cr Tc Ru
2 2 2
Direct
0.0000 0.0000 0.0000 Cr
0.5000 0.5000 0.5000 Cr
0.0000 0.0000 0.6668 Tc
0.5000 0.5000 0.1668 Tc
0.0000 0.0000 0.3444 Ru
0.5000 0.5000 0.8444 Ru

---

Record 15
CrTcRu2 GGA-PBE relaxed; VASP energy = -9.41 eV per atom; crystal system = orthorhombic; E above lowest polymorph = 0.161 eV per atom; ΔE_f = 227 meV per atom; space-group type = Immm, No. 71; size of the total moment = 0.4 μB per formula unit
1.0
2.8192 0.0000 0.0000
0.0000 4.3308 0.0000
0.0000 0.0000 9.0608
Cr Tc Ru
2 2 4
Direct
0.0000 0.0000 0.0000 Cr
0.5000 0.5000 0.5000 Cr
0.0000 0.0000 0.5000 Tc
0.5000 0.5000 0.0000 Tc
0.0000 0.5000 0.2788 Ru
0.0000 0.5000 0.7212 Ru
0.5000 0.0000 0.2212 Ru
0.5000 0.0000 0.7788 Ru

---

Record 16
CrTcRu2 GGA-PBE relaxed; VASP energy = -9.53 eV per atom; crystal system = monoclinic; E above lowest polymorph = 0.044 eV per atom; ΔE_f = 110 meV per atom; space-group type = P2/m, No. 10; size of the total moment = 0.0 μB per formula unit
1.0
4.6329 0.0000 0.0000
0.0000 2.6925 0.0000
-1.5416 0.0000 4.3794
Cr Tc Ru
1 1 2
Direct
0.0000 0.0000 0.0000 Cr
0.5000 0.5000 0.0000 Tc
0.0000 0.5000 0.5000 Ru
0.5000 0.0000 0.5000 Ru

---

Record 17
CrTcRu2 GGA-PBE relaxed; VASP energy = -9.55 eV per atom; crystal system = tetragonal; E above lowest polymorph = 0.021 eV per atom; ΔE_f = 87 meV per atom; space-group type = I4/mmm, No. 139; size of the total moment = 0.0 μB per formula unit
1.0
3.8006 0.0000 0.0000
0.0000 3.8006 0.0000
0.0000 0.0000 7.5519
Cr Tc Ru
2 2 4
Direct
0.0000 0.0000 0.0000 Cr
0.5000 0.5000 0.5000 Cr
0.0000 0.0000 0.5000 Tc
0.5000 0.5000 0.0000 Tc
0.0000 0.5000 0.2500 Ru
0.0000 0.5000 0.7500 Ru
0.5000 0.0000 0.2500 Ru
0.5000 0.0000 0.7500 Ru

---

Record 18
CrTcRu GGA-PBE relaxed; VASP energy = -9.21 eV per atom; crystal system = cubic; E above lowest polymorph = 0.478 eV per atom; ΔE_f = 540 meV per atom; space-group type = F-43m, No. 216; size of the total moment = 0.0 μB per formula unit
1.0
5.6820 0.0000 0.0000
0.0000 5.6820 0.0000
0.0000 0.0000 5.6820
Cr Tc Ru
4 4 4
Direct
0.0000 0.0000 0.0000 Cr
0.0000 0.5000 0.5000 Cr
0.5000 0.0000 0.5000 Cr
0.5000 0.5000 0.0000 Cr
0.2500 0.2500 0.2500 Tc
0.2500 0.7500 0.7500 Tc
0.7500 0.2500 0.7500 Tc
0.7500 0.7500 0.2500 Tc
0.2500 0.2500 0.7500 Ru
0.2500 0.7500 0.2500 Ru
0.7500 0.2500 0.2500 Ru
0.7500 0.7500 0.7500 Ru

---

Record 19
CrTcRu2 GGA-PBE relaxed; VASP energy = -9.50 eV per atom; crystal system = trigonal; E above lowest polymorph = 0.071 eV per atom; ΔE_f = 136 meV per atom; space-group type = R3m, No. 160; size of the total moment = 0.0 μB per formula unit
1.0
2.6877 0.0000 0.0000
-1.3439 2.3276 0.0000
0.0000 0.0000 26.2776
Cr Tc Ru
3 3 6
Direct
0.0000 0.0000 0.0000 Cr
0.3333 0.6667 0.6667 Cr
0.6667 0.3333 0.3333 Cr
0.0000 0.0000 0.2491 Tc
0.3333 0.6667 0.9158 Tc
0.6667 0.3333 0.5824 Tc
0.0000 0.0000 0.4990 Ru
0.0000 0.0000 0.7438 Ru
0.3333 0.6667 0.1657 Ru
0.3333 0.6667 0.4105 Ru
0.6667 0.3333 0.0771 Ru
0.6667 0.3333 0.8324 Ru

---

Record 20
CrTcRu GGA-PBE relaxed; VASP energy = -9.66 eV per atom; crystal system = hexagonal; E above lowest polymorph = 0.035 eV per atom; ΔE_f = 97 meV per atom; space-group type = P-6m2, No. 187; size of the total moment = 0.0 μB per formula unit
1.0
4.1886 0.0000 0.0000
-2.0943 3.6274 0.0000
0.0000 0.0000 2.6759
Cr Tc Ru
1 1 1
Direct
0.0000 0.0000 0.0000 Cr
0.6667 0.3333 0.5000 Tc
0.3333 0.6667 0.0000 Ru

---

Record 21
CrTcRu2 GGA-PBE relaxed; VASP energy = -9.55 eV per atom; crystal system = orthorhombic; E above lowest polymorph = 0.022 eV per atom; ΔE_f = 88 meV per atom; space-group type = Pmmm, No. 47; size of the total moment = 0.2 μB per formula unit
1.0
2.6914 0.0000 0.0000
0.0000 3.7649 0.0000
0.0000 0.0000 5.3864
Cr Tc Ru
1 1 2
Direct
0.0000 0.0000 0.0000 Cr
0.0000 0.0000 0.5000 Tc
0.5000 0.5000 0.2411 Ru
0.5000 0.5000 0.7589 Ru

---

Record 22
CrTcRu GGA-PBE relaxed; VASP energy = -9.67 eV per atom; crystal system = orthorhombic; E above lowest polymorph = 0.023 eV per atom; ΔE_f = 85 meV per atom; space-group type = Amm2, No. 38; size of the total moment = 0.0 μB per formula unit
1.0
4.3202 0.0000 0.0000
0.0000 2.7220 0.0000
0.0000 0.0000 13.7781
Cr Tc Ru
4 4 4
Direct
0.0000 0.0000 0.0000 Cr
0.0000 0.5000 0.5000 Cr
0.5000 0.0000 0.4524 Cr
0.5000 0.5000 0.9524 Cr
0.0000 0.0000 0.3434 Tc
0.0000 0.0000 0.6663 Tc
0.0000 0.5000 0.1663 Tc
0.0000 0.5000 0.8434 Tc
0.5000 0.0000 0.1100 Ru
0.5000 0.0000 0.7868 Ru
0.5000 0.5000 0.2868 Ru
0.5000 0.5000 0.6100 Ru

---

Record 23
CrTcRu GGA-PBE relaxed; VASP energy = -9.64 eV per atom; crystal system = monoclinic; E above lowest polymorph = 0.052 eV per atom; ΔE_f = 114 meV per atom; space-group type = Cm, No. 8; size of the total moment = 0.0 μB per formula unit
1.0
13.1631 0.0000 0.0000
0.0000 2.8032 0.0000
-0.1619 0.0000 4.4196
Cr Tc Ru
4 4 4
Direct
0.0000 0.0000 0.0000 Cr
0.1573 0.5000 0.1150 Cr
0.5000 0.5000 0.0000 Cr
0.6573 0.0000 0.1150 Cr
0.0194 0.5000 0.4827 Tc
0.3599 0.5000 0.6379 Tc
0.5194 0.0000 0.4827 Tc
0.8599 0.0000 0.6379 Tc
0.1855 0.0000 0.6328 Ru
0.3231 0.0000 0.1296 Ru
0.6855 0.5000 0.6328 Ru
0.8231 0.5000 0.1296 Ru

---

Record 24
CrTcRu GGA-PBE relaxed; VASP energy = -9.69 eV per atom; crystal system = monoclinic; E above lowest polymorph = 0.000 eV per atom; ΔE_f = 62 meV per atom; space-group type = Pm, No. 6; size of the total moment = 0.0 μB per formula unit
1.0
4.5549 0.0000 0.0000
0.0000 2.7682 0.0000
-2.2431 0.0000 6.4225
Cr Tc Ru
2 2 2
Direct
0.0000 0.0000 0.0000 Cr
0.3101 0.0000 0.6271 Cr
0.4969 0.0000 0.3157 Tc
0.8192 0.5000 0.6666 Tc
0.4682 0.5000 0.9587 Ru
0.9918 0.5000 0.3093 Ru

---

Record 25
CrTcRu2 GGA-PBE relaxed; VASP energy = -9.54 eV per atom; crystal system = monoclinic; E above lowest polymorph = 0.034 eV per atom; ΔE_f = 100 meV per atom; space-group type = C2/m, No. 12; size of the total moment = 0.0 μB per formula unit
1.0
8.9021 0.0000 0.0000
0.0000 2.6897 0.0000
-0.8505 0.0000 4.5556
Cr Tc Ru
2 2 4
Direct
0.0000 0.0000 0.0000 Cr
0.5000 0.5000 0.0000 Cr
0.0000 0.5000 0.5000 Tc
0.5000 0.0000 0.5000 Tc
0.2452 0.5000 0.2442 Ru
0.2548 0.0000 0.7558 Ru
0.7452 0.0000 0.2442 Ru
0.7548 0.5000 0.7558 Ru

---

Record 26
CrTcRu GGA-PBE relaxed; VASP energy = -9.67 eV per atom; crystal system = monoclinic; E above lowest polymorph = 0.024 eV per atom; ΔE_f = 86 meV per atom; space-group type = Pm, No. 6; size of the total moment = 0.0 μB per formula unit
1.0
2.6852 0.0000 0.0000
0.0000 3.9473 0.0000
-1.2849 0.0000 7.6283
Cr Tc Ru
2 2 2
Direct
0.0000 0.0000 0.0000 Cr
0.2951 0.5000 0.1492 Cr
0.3489 0.5000 0.4878 Tc
0.5403 0.5000 0.8403 Tc
0.7618 0.0000 0.3033 Ru
0.9616 0.0000 0.6597 Ru

---

Record 27
CrTcRu2 GGA-PBE relaxed; VASP energy = -9.56 eV per atom; crystal system = tetragonal; E above lowest polymorph = 0.010 eV per atom; ΔE_f = 76 meV per atom; space-group type = P4/mmm, No. 123; size of the total moment = 0.0 μB per formula unit
1.0
2.6953 0.0000 0.0000
0.0000 2.6953 0.0000
0.0000 0.0000 7.4875
Cr Tc Ru
1 1 2
Direct
0.0000 0.0000 0.0000 Cr
0.0000 0.0000 0.5000 Tc
0.5000 0.5000 0.2374 Ru
0.5000 0.5000 0.7626 Ru